DFT (PBE) results for crystalline InSi7 at its relaxed geometry.

a b c (Å): 8.0682 8.0682 8.0682
angles (deg): 90.00 90.00 90.00
Space group Fm-3m (No. 225)
Unique sites:
In (0.0000, 0.0000, 0.0000)
Si (0.0000, 0.0000, 0.5000)
Si (0.0000, 0.2500, 0.2500)

- size of the total moment (μB per cell) = 0.00
- density of states at the Fermi level (states/eV/f.u.) = 4.2
- total energy (eV per atom) = -4.474
- formation energy (no corrections) (eV/atom) = 0.613